[1]
# Ac2Sb3Pd5

A geometry-optimized Ac2Sb3Pd5 structure (PBE, Alexandria).

Cell lengths 6.673, 9.006, 9.006 Å; angles 76.63, 68.26, 68.26 degrees
Fractional coordinates of all 20 atoms:
1 Ac 0.372 0.856 0.401
2 Ac 0.128 0.599 0.144
3 Pd 0.892 0.957 0.259
4 Pd 0.983 0.767 0.767
5 Sb 0.365 0.519 0.752
6 Pd 0.608 0.741 0.043
7 Sb 0.250 0.000 0.000
8 Sb 0.865 0.752 0.519
9 Pd 0.108 0.043 0.741
10 Sb 0.750 0.000 0.000
11 Pd 0.392 0.259 0.957
12 Pd 0.517 0.233 0.233
13 Pd 0.483 0.767 0.767
14 Sb 0.135 0.248 0.481
15 Pd 0.750 0.500 0.500
16 Pd 0.250 0.500 0.500
17 Ac 0.872 0.401 0.856
18 Pd 0.017 0.233 0.233
19 Sb 0.635 0.481 0.248
20 Ac 0.628 0.144 0.599

Computed properties:
Space-group type ... Ibam, No. 72
ρ ... 9.67 g cm⁻³
Raw formation energy ... -19.35 kcal/mol of atoms

=====

[2]
# AcSbPd4

A geometry-optimized AcSbPd4 structure (PBE, Alexandria).

Cell lengths 6.498, 6.652, 6.498 Å; angles 77.79, 70.29, 77.79 degrees
Fractional coordinates of all 12 atoms:
1 Sb 0.584 0.219 0.584
2 Ac 0.166 0.236 0.166
3 Pd 0.429 0.567 0.811
4 Pd 0.234 0.000 0.766
5 Pd 0.766 0.000 0.234
6 Pd 0.177 0.741 0.177
7 Sb 0.416 0.781 0.416
8 Pd 0.823 0.259 0.823
9 Pd 0.189 0.433 0.571
10 Pd 0.811 0.567 0.429
11 Pd 0.571 0.433 0.189
12 Ac 0.834 0.764 0.834

Computed properties:
Space-group type ... C2/m, No. 12
ρ ... 10.07 g cm⁻³
Relative energy among the computed polymorphs ... 0.0 meV/atom
Raw formation energy ... -14.81 kcal/mol of atoms

=====

[3]
# AcSbPd2

A geometry-optimized AcSbPd2 structure (PBE, Alexandria).

Cell lengths 4.653, 7.646, 6.249 Å; angles 90.00, 111.86, 90.00 degrees
Fractional coordinates of all 8 atoms:
1 Sb 0.364 0.250 0.729
2 Ac 0.929 0.750 0.859
3 Pd 0.210 0.569 0.420
4 Ac 0.071 0.250 0.141
5 Pd 0.790 0.431 0.580
6 Sb 0.636 0.750 0.271
7 Pd 0.790 0.069 0.580
8 Pd 0.210 0.931 0.420

Computed properties:
Space-group type ... Cmcm, No. 63
ρ ... 9.04 g cm⁻³
Raw formation energy ... -16.66 kcal/mol of atoms

=====

[4]
# AcSbPd4

A geometry-optimized AcSbPd4 structure (PBE, Alexandria).

Cell lengths 4.261, 7.529, 7.813 Å; angles 90.00, 90.00, 90.00 degrees
Fractional coordinates of all 12 atoms:
1 Sb 0.000 0.227 0.750
2 Pd 0.500 0.962 0.750
3 Pd 0.500 0.303 0.955
4 Pd 0.500 0.697 0.045
5 Pd 0.500 0.038 0.250
6 Pd 0.500 0.697 0.455
7 Sb 0.000 0.773 0.250
8 Pd 0.000 0.000 0.000
9 Ac 0.000 0.661 0.750
10 Ac 0.000 0.339 0.250
11 Pd 0.500 0.303 0.545
12 Pd 0.000 0.000 0.500

Computed properties:
Space-group type ... Pmma, No. 51
ρ ... 10.26 g cm⁻³
Relative energy among the computed polymorphs ... 53.4 meV/atom
Raw formation energy ... -13.58 kcal/mol of atoms

=====

[5]
# Ac3Sb2Pd4

A geometry-optimized Ac3Sb2Pd4 structure (PBE, Alexandria).

Cell lengths 4.628, 6.388, 9.160 Å; angles 106.09, 90.00, 111.24 degrees
Fractional coordinates of all 9 atoms:
1 Ac 0.658 0.316 0.676
2 Ac 0.000 0.000 0.000
3 Pd 0.943 0.886 0.612
4 Pd 0.057 0.114 0.388
5 Pd 0.277 0.555 0.937
6 Ac 0.342 0.684 0.324
7 Sb 0.381 0.763 0.713
8 Pd 0.723 0.445 0.063
9 Sb 0.619 0.237 0.287

Computed properties:
Space-group type ... C2/m, No. 12
ρ ... 9.30 g cm⁻³
Raw formation energy ... -21.67 kcal/mol of atoms

=====

[6]
# Ac3SbPd8

A geometry-optimized Ac3SbPd8 structure (PBE, Alexandria).

Cell lengths 5.723, 5.723, 9.176 Å; angles 90.00, 90.00, 120.00 degrees
Fractional coordinates of all 12 atoms:
1 Ac 0.333 0.667 0.919
2 Pd 0.667 0.333 0.992
3 Pd 0.338 0.169 0.748
4 Sb 0.000 0.000 0.514
5 Pd 0.000 0.500 0.235
6 Pd 0.500 0.000 0.235
7 Pd 0.831 0.662 0.748
8 Pd 0.831 0.169 0.748
9 Ac 0.000 0.000 0.118
10 Pd 0.500 0.500 0.235
11 Ac 0.333 0.667 0.520
12 Pd 0.667 0.333 0.487

Computed properties:
Space-group type ... P3m1, No. 156
ρ ... 10.55 g cm⁻³
Relative energy among the computed polymorphs ... 8.2 meV/atom
Raw formation energy ... -16.44 kcal/mol of atoms

=====

[7]
# AcSb2Pd

A geometry-optimized AcSb2Pd structure (PBE, Alexandria).

Cell lengths 3.768, 3.768, 7.432 Å; angles 90.00, 90.00, 90.00 degrees
Fractional coordinates of all 4 atoms:
1 Pd 0.500 0.500 0.000
2 Sb 0.000 0.000 0.193
3 Sb 0.000 0.000 0.807
4 Ac 0.500 0.500 0.500

Computed properties:
Space-group type ... P4/mmm, No. 123
ρ ... 9.08 g cm⁻³
Relative energy among the computed polymorphs ... 464.9 meV/atom
Raw formation energy ... -8.81 kcal/mol of atoms

=====

[8]
# Ac2Sb2Pd15

A geometry-optimized Ac2Sb2Pd15 structure (PBE, Alexandria).

Cell lengths 7.139, 7.139, 7.139 Å; angles 82.00, 82.00, 82.00 degrees
Fractional coordinates of all 19 atoms:
1 Pd 0.000 0.688 0.312
2 Pd 0.500 0.000 0.000
3 Pd 0.688 0.312 0.000
4 Pd 0.657 0.160 0.657
5 Pd 0.000 0.312 0.688
6 Pd 0.000 0.500 0.000
7 Pd 0.312 0.688 0.000
8 Pd 0.657 0.657 0.160
9 Pd 0.688 0.000 0.312
10 Pd 0.343 0.840 0.343
11 Sb 0.103 0.103 0.103
12 Pd 0.343 0.343 0.840
13 Ac 0.350 0.350 0.350
14 Pd 0.840 0.343 0.343
15 Ac 0.650 0.650 0.650
16 Sb 0.897 0.897 0.897
17 Pd 0.000 0.000 0.500
18 Pd 0.312 0.000 0.688
19 Pd 0.160 0.657 0.657

Computed properties:
Space-group type ... R-3m, No. 166
ρ ... 10.75 g cm⁻³
Raw formation energy ... -9.94 kcal/mol of atoms